# Gd2NiO4, relaxed, DFT GGA+U
# E_tot in eV/atom: -9.827
data_Gd2NiO4
_chemical_formula_sum 'Gd4 Ni2 O8'
_space_group_name_H-M_alt 'I 4/m m m'
_space_group_IT_number 139
_space_group_name_Hall '-I 4 2'
_cell_length_a 3.837
_cell_length_b 3.837
_cell_length_c 11.970
_cell_angle_alpha 90.00
_cell_angle_beta 90.00
_cell_angle_gamma 90.00
loop_
_atom_site_label
_atom_site_fract_x
_atom_site_fract_y
_atom_site_fract_z
Gd1 0.000 0.000 0.136
Ni1 0.000 0.000 0.500
O1 0.000 0.000 0.319
O2 0.000 0.500 0.000